SrPtNF2 | PBE | optimized geometry

Calculated values
Uncorrected energy in Ry per atom: -0.31036
Symmetry: P4/mmm
ΔE to the lowest computed polymorph in eV/atom: 0.951

The structure in POSCAR format:
```
SrPtNF2
1.0
-0.5471 3.8763 2.2129
-3.7992 -1.5747 1.8190
2.8490 -2.0043 4.2154
Sr N Pt F
1 1 1 2
Cartesian
0.0000 0.0000 0.0000 Sr
1.4245 -1.0022 2.1077 N
-0.7486 0.1487 4.1236 Pt
-1.8996 -0.7873 0.9095 F
-0.2736 1.9381 1.1064 F
```